Entry 1:
First-principles (PBEsol) data for a relaxed structure of ScBe2As, as listed in Alexandria.

Cell: 3.7556 3.7556 3.7180 Å, 90.00 90.00 90.00°
Closest atoms and distances in Å follow each position.
Space group P4/mmm (No. 123)
Inequivalent atoms, fractional coordinates:
Sc1 0.0000 0.0000 0.0000 [1 per cell]  8 Be 2.64, 4 As 2.66
Be1 0.0000 0.5000 0.5000 [2 per cell]  4 As 2.64, 4 Sc 2.64, 4 Be 2.66
As1 0.5000 0.5000 0.0000 [1 per cell]  8 Be 2.64, 4 Sc 2.66

***

Entry 2:
First-principles (PBEsol) data for a relaxed structure of ErFeRu, as listed in Alexandria.

Cell: 4.9853 5.2807 7.2251 Å, 90.00 90.00 90.00°
Closest atoms and distances in Å follow each position.
Space group Imma (No. 74)
Inequivalent atoms, fractional coordinates:
Er1 0.0000 0.2500 0.1242 [4 per cell]  6 Ru 2.96-3.02, 6 Fe 2.98-3.06, 4 Er 3.09-3.19
Fe1 0.2500 0.2500 0.7500 [4 per cell]  2 Fe 2.49, 4 Ru 2.56
Ru1 0.0000 0.0000 0.5000 [4 per cell]  4 Fe 2.56, 2 Ru 2.64

***

Entry 3:
First-principles (PBEsol) data for a relaxed structure of CsNa3In, as listed in Alexandria.

Calculated values
The energy above the most stable polymorph in this dataset comes out at 0.0 meV per atom.

Cell: 6.0949 6.0949 6.0949 Å, 90.00 90.00 90.00°
Closest atoms and distances in Å follow each position.
Space group Pm-3m (No. 221)
Inequivalent atoms, fractional coordinates:
Cs1 0.0000 0.0000 0.0000 [1 per cell]  12 Na 4.31
Na1 0.0000 0.5000 0.5000 [3 per cell]  2 In 3.05
In1 0.5000 0.5000 0.5000 [1 per cell]  6 Na 3.05

***

Entry 4:
First-principles (PBEsol) data for a relaxed structure of PtPb2, as listed in Alexandria.

Cell: 13.2378 3.3893 6.6794 Å, 90.00 106.90 90.00°
Closest atoms and distances in Å follow each position.
Space group C2/m (No. 12)
Inequivalent atoms, fractional coordinates:
Pt1 0.0006 0.0000 0.2411 [4 per cell]  8 Pb 2.92-2.96, 1 Pt 3.22
Pb1 0.1328 0.5000 0.5749 [4 per cell]  4 Pt 2.94-2.96
Pb2 0.1385 0.5000 0.0781 [4 per cell]  4 Pt 2.92

***

The calculation returns the following mass density values, one per record and in order: 4.37; 11.32; 2.32; 14.12 g cm⁻³.
The calculation returns the following calculated formation energy values, one per record and in order: -0.25; -0.24; 0.02; -0.08 eV/atom.
The calculation returns the following total energy values, one per record and in order: -5.1760; -8.2609; -1.6036; -5.0673 eV/atom.